DFT (GGA-PBE) results for Cd3Os after structural relaxation.

Output
- E above lowest polymorph: 226.6 meV/atom
- E_form: 558 meV/atom
- DOS at the Fermi energy: 0.86 states/eV/atom
- Calculated total energy: -11.74 eV per cell

a b c (Å): 3.477 3.477 6.301
angles (deg): 90.00 90.00 90.00
Atoms (fractional coordinates):
1 Cd 0.000 0.000 0.000
2 Cd 0.500 0.500 0.272
3 Cd 0.500 0.500 0.728
4 Os 0.000 0.000 0.500

=====

DFT (GGA-PBE) results for CdOs2 after structural relaxation.

Output
- E above lowest polymorph: 267.9 meV/atom
- E_form: 589 meV/atom
- DOS at the Fermi energy: 0.87 states/eV/atom
- Calculated total energy: -43.21 eV per cell

a b c (Å): 5.536 5.536 6.636
angles (deg): 105.71 105.71 29.43
Atoms (fractional coordinates):
1 Cd 0.000 0.000 0.000
2 Cd 0.655 0.655 0.338
3 Os 0.037 0.037 0.614
4 Os 0.332 0.332 0.651
5 Os 0.371 0.371 0.266
6 Os 0.727 0.727 0.901

=====

Question: Look up the E_form of the first one.
Answer: 558 meV/atom